# 1
Ba2CaAu: relaxed, PBE.

Symmetry: Immm
Spin magnetization, Bohr magnetons per cell: 0.0
Calculated density, kg/m3: 5119
Polymorph energy (0 for the lowest one), meV/atom: 113

```
Ba2CaAu
1.0
-6.289 -2.332 -3.458
-0.817 -7.097 -2.433
1.259 4.659 5.802
Ba Ca Au
2 1 1
direct
0.063 0.063 0.000
0.437 0.437 0.000
0.750 0.250 0.500
0.250 0.750 0.500
```

# 2
Ba2CaAu4: relaxed, PBE.

Symmetry: I4/mmm
Spin magnetization, Bohr magnetons per cell: 0.0
Calculated density, kg/m3: 8319
E_tot, eV/atom: -3.31

```
Ba2CaAu4
1.0
-3.036 -3.675 -3.056
4.278 -0.475 -3.679
1.962 -3.114 7.042
Au Ca Ba
4 1 2
direct
0.103 0.603 0.207
0.397 0.897 0.793
0.603 0.103 0.207
0.897 0.397 0.793
0.000 0.000 0.000
0.719 0.719 0.438
0.281 0.281 0.562
```